Record 1
DFT (PBE) results for an optimized crystal structure of Be5VRu6.

Cell and atoms, written as POSCAR:
```
Be5VRu6
1.0
-1.6573 2.2617 2.8750
-0.3137 -4.5405 3.3912
6.2643 0.1084 0.7246
Ru Be V
6 5 1
Direct
0.1731 0.7471 0.3490
0.5000 0.7374 0.0000
0.8269 0.2529 0.6510
0.1731 0.2529 0.3490
0.5000 0.2626 0.0000
0.8269 0.7471 0.6510
0.0000 0.5000 0.0000
0.3423 0.0000 0.6820
0.6607 0.5000 0.3259
0.6577 0.0000 0.3180
0.3393 0.5000 0.6741
0.0000 0.0000 0.0000
```

Size of the total moment, μB per atom: 0.000
Crystal system: monoclinic
Uncorrected energy, eV/cell: -86.57
SG: No. 10



Record 2
DFT (PBE) results for an optimized crystal structure of Tb3NdY6.

Cell and atoms, written as POSCAR:
```
Tb3NdY6
1.0
-2.6928 -2.4009 -5.3190
9.5258 -6.3221 -1.9688
-9.6229 -2.4743 5.9885
Y Tb Nd
12 6 2
Direct
0.0708 0.3789 0.2602
0.3134 0.9854 0.0146
0.2910 0.6982 0.3018
0.8302 0.5422 0.1059
0.0708 0.7398 0.6211
0.5708 0.6211 0.7398
0.7910 0.3018 0.6982
0.8302 0.8941 0.4578
0.3302 0.1059 0.5422
0.8134 0.0146 0.9854
0.3302 0.4578 0.8941
0.5708 0.2602 0.3789
0.5968 0.5811 0.4189
0.9853 0.0419 0.2968
0.4853 0.9581 0.7032
0.0968 0.4189 0.5811
0.9853 0.7032 0.9581
0.4853 0.2968 0.0419
0.0117 0.1618 0.8382
0.5117 0.8382 0.1618
```

Size of the total moment, μB per atom: 0.000
Crystal system: orthorhombic
Uncorrected energy, eV/cell: -112.62
Distance to the lowest polymorph of the same formula, meV per atom: 0
SG: No. 36



Record 3
DFT (PBE) results for an optimized crystal structure of K2CaAl.

Cell and atoms, written as POSCAR:
```
K2CaAl
1.0
6.6355 0.0000 0.0000
0.0000 3.9926 0.0048
0.0000 0.5802 5.9898
Al K Ca
1 2 1
Direct
0.5000 0.2500 0.2500
0.0000 0.4775 0.4806
0.0000 0.0225 0.0194
0.5000 0.7500 0.7500
```

Size of the total moment, μB per atom: 0.000
Crystal system: monoclinic
Uncorrected energy, eV/cell: -6.68
SG: No. 10